Material: Mg2TaPd8
Method: DFT, PBE
State: optimized geometry

```
11
Lattice="7.1168 -2.0176 0.0000 7.1168 2.0176 0.0000 -1.8124 0.0000 6.0356" Properties=species:S:1:pos:R:3 pbc="T T T"
Mg 2.8711 0.0000 0.9091
Mg 9.5500 0.0000 5.1265
Ta 6.2106 0.0000 3.0178
Pd 0.1721 0.0000 1.3800
Pd 0.7161 0.0000 4.1014
Pd 3.5155 0.0000 3.5241
Pd 5.6947 0.0000 0.3069
Pd 6.7264 0.0000 5.7287
Pd 8.9056 0.0000 2.5115
Pd 11.7050 0.0000 1.9342
Pd 12.2490 0.0000 4.6556
```

## Properties
Space-group type   No. 12
Energy of formation from the pure elements   -0.492 eV per atom



Material: ScCd6Ag5
Method: DFT, PBE
State: optimized geometry

```
12
Lattice="2.1778 -6.7106 0.0000 2.1778 6.7106 0.0000 -0.0210 0.0000 8.1871" Properties=species:S:1:pos:R:3 pbc="T T T"
Sc 0.0000 0.0000 0.0000
Cd 2.1665 4.4689 2.0546
Cd 2.1680 4.4689 6.1325
Cd 2.1716 0.0000 2.1505
Cd 2.1630 0.0000 6.0366
Cd 2.1665 -4.4689 2.0546
Cd 2.1680 -4.4689 6.1325
Ag -0.0105 0.0000 4.0935
Ag 2.1673 2.3065 4.0935
Ag 2.1778 2.2122 0.0000
Ag 2.1778 -2.2122 0.0000
Ag 2.1673 -2.3065 4.0935
```

## Properties
Space-group type   No. 12
Energy of formation from the pure elements   -0.085 eV per atom



Calculated values (states/eV per cell) of density of states at the Fermi level for the records, taken in order: 6.59; 4.62.
Calculated values (g/cm³) of theoretical density for the records, taken in order: 10.36; 8.73.